# 1
4
Lattice="-1.214 -1.710 -3.198 3.627 0.087 -1.209 1.436 -7.997 3.730" Properties=species:S:1:pos:R:3 comment="GGA-PBE Sr2SbPt, optimized geometry" e_tot_ev_per_cell=-15.17 pbc="T T T"
Pt 0.822 -4.579 2.136
Sr 1.334 -7.428 3.465
Sr 1.671 -3.397 -0.998
Sb 2.176 -6.211 0.315

---

# 2
8
Lattice="5.950 0.000 0.000 0.000 5.950 0.000 0.000 0.000 5.950" Properties=species:S:1:pos:R:3 comment="GGA-PBE RuI, optimized geometry" e_above_lowest_polymorph_ev_per_fu=1.310 e_tot_ev_per_cell=-36.20 pbc="T T T"
Ru 1.487 1.487 1.487
Ru 1.487 4.462 4.462
Ru 4.462 4.462 1.487
Ru 4.462 1.487 4.462
I 0.000 0.000 0.000
I 2.975 0.000 2.975
I 2.975 2.975 0.000
I 0.000 2.975 2.975